{"formula": "PrCrO4", "functional": "PBE+U", "state": "relaxed", "lattice": [[6.1527, 0.0018, 0.0000], [-2.7265, 5.5155, 0.0000], [-1.7131, -2.7587, 5.3166]], "species": ["Pr", "Pr", "Cr", "Cr", "O", "O", "O", "O", "O", "O", "O", "O"], "fractional_positions": [[0.8750, 0.1250, 0.7500], [0.1250, 0.8750, 0.2500], [0.6250, 0.3750, 0.2500], [0.3750, 0.6250, 0.7500], [0.1936, 0.6315, 0.9168], [0.6315, 0.1936, 0.4168], [0.2768, 0.2147, 0.0832], [0.2147, 0.2768, 0.5832], [0.3685, 0.8064, 0.5832], [0.8064, 0.3685, 0.0832], [0.7853, 0.7232, 0.4169], [0.7232, 0.7853, 0.9169]], "spacegroup": "Fddd", "final_energy_ev_per_atom": -7.6401, "magnetic_moment_mub_per_fu": 1.000, "n_ef_per_ev_atom": 0.000}